(1)
## VSnO4 (GGA+U)

Data for a relaxed VSnO4 crystal.

Unit cell a=3.1509 b=4.6670 c=4.6670 alpha=90.30 beta=90.00 gamma=90.00
With the nearest neighbours (Å) after each atom.
Element x y z (fractional)
V 0.0000 0.5000 0.5000  6 O 1.93-2.00
Sn 0.5000 0.0000 0.0000  6 O 2.08
O 0.0000 0.7931 0.7931  1 V 1.93, 2 Sn 2.08
O 0.0000 0.2069 0.2069  1 V 1.93, 2 Sn 2.08
O 0.5000 0.3142 0.6858  2 V 2.00, 1 Sn 2.08
O 0.5000 0.6858 0.3142  2 V 2.00, 1 Sn 2.08

Calculated values
Total energy ... -7.02 eV/atom
DOS(E_F) ... 0.00 states/eV/cell


(2)
## V6SnO12 (GGA+U)

Data for a relaxed V6SnO12 crystal.

Unit cell a=5.9580 b=5.9580 c=5.9580 alpha=99.85 beta=99.85 gamma=99.85
With the nearest neighbours (Å) after each atom.
Element x y z (fractional)
V 0.6788 0.8575 0.3935  6 O 2.00-2.16
V 0.6065 0.3212 0.1425  6 O 2.00-2.16
V 0.1425 0.6065 0.3212  6 O 2.00-2.16
V 0.3212 0.1425 0.6065  6 O 2.00-2.16
V 0.3935 0.6788 0.8575  6 O 2.00-2.16
V 0.8575 0.3935 0.6788  6 O 2.00-2.16
Sn 0.0000 0.0000 0.0000  6 O 2.06
O 0.8243 0.5838 0.4294  4 V 2.00-2.16
O 0.4294 0.8243 0.5838  4 V 2.00-2.16
O 0.5838 0.4294 0.8243  4 V 2.00-2.16
O 0.1757 0.4162 0.5706  4 V 2.00-2.16
O 0.5706 0.1757 0.4162  4 V 2.00-2.16
O 0.4162 0.5706 0.1757  4 V 2.00-2.16
O 0.0991 0.9362 0.3279  2 V 2.00-2.02, 1 Sn 2.06
O 0.0638 0.6721 0.9009  2 V 2.00-2.02, 1 Sn 2.06
O 0.6721 0.9009 0.0638  2 V 2.00-2.02, 1 Sn 2.06
O 0.9009 0.0638 0.6721  2 V 2.00-2.02, 1 Sn 2.06
O 0.9362 0.3279 0.0991  2 V 2.00-2.02, 1 Sn 2.06
O 0.3279 0.0991 0.9362  2 V 2.00-2.02, 1 Sn 2.06

Calculated values
Total energy ... -7.61 eV/atom
DOS(E_F) ... 4.95 states/eV/cell


(3)
## V2SnO7 (GGA+U)

Data for a relaxed V2SnO7 crystal.

Unit cell a=8.9219 b=8.9219 c=8.9219 alpha=90.00 beta=90.00 gamma=90.00
With the nearest neighbours (Å) after each atom.
Element x y z (fractional)
V 0.1159 0.8841 0.3841  4 O 1.72-1.79
V 0.1159 0.6159 0.8841  4 O 1.72-1.79
V 0.3841 0.3841 0.3841  4 O 1.72-1.79
V 0.3841 0.1159 0.8841  4 O 1.72-1.79
V 0.6159 0.6159 0.6159  4 O 1.72-1.79
V 0.6159 0.8841 0.1159  4 O 1.72-1.79
V 0.8841 0.1159 0.6159  4 O 1.72-1.79
V 0.8841 0.3841 0.1159  4 O 1.72-1.79
Sn 0.0000 0.0000 0.0000  6 O 2.06
Sn 0.0000 0.5000 0.5000  6 O 2.06
Sn 0.5000 0.0000 0.5000  6 O 2.06
Sn 0.5000 0.5000 0.0000  6 O 2.06
O 0.0000 0.0000 0.5000  2 V 1.79
O 0.0000 0.5000 0.0000  2 V 1.79
O 0.0611 0.7009 0.4049  1 V 1.72
O 0.0611 0.7991 0.9049  1 V 1.72
O 0.0951 0.5611 0.7009  1 V 1.72
O 0.0951 0.9389 0.2009  1 V 1.72
O 0.2009 0.0951 0.9389  1 V 1.72
O 0.2009 0.4049 0.4389  1 V 1.72
O 0.2991 0.5951 0.9389  1 V 1.72
O 0.2991 0.9049 0.4389  1 V 1.72
O 0.4049 0.0611 0.7009  1 V 1.72
O 0.4049 0.4389 0.2009  1 V 1.72
O 0.4389 0.2991 0.9049  1 V 1.72
O 0.4389 0.2009 0.4049  1 V 1.72
O 0.5000 0.5000 0.5000  2 V 1.79
O 0.5000 0.0000 0.0000  2 V 1.79
O 0.5611 0.7009 0.0951  1 V 1.72
O 0.5611 0.7991 0.5951  1 V 1.72
O 0.5951 0.5611 0.7991  1 V 1.72
O 0.5951 0.9389 0.2991  1 V 1.72
O 0.7009 0.0951 0.5611  1 V 1.72
O 0.7009 0.4049 0.0611  1 V 1.72
O 0.7991 0.5951 0.5611  1 V 1.72
O 0.7991 0.9049 0.0611  1 V 1.72
O 0.9049 0.0611 0.7991  1 V 1.72
O 0.9049 0.4389 0.2991  1 V 1.72
O 0.9389 0.2009 0.0951  1 V 1.72
O 0.9389 0.2991 0.5951  1 V 1.72

Calculated values
Total energy ... -7.13 eV/atom
DOS(E_F) ... 0.00 states/eV/cell


(4)
## V5Sn3O12 (GGA+U)

Data for a relaxed V5Sn3O12 crystal.

Unit cell a=11.1820 b=11.1820 c=11.1820 alpha=109.47 beta=109.47 gamma=109.47
With the nearest neighbours (Å) after each atom.
Element x y z (fractional)
Sn 0.7500 0.3750 0.1250  8 O 2.48-2.72
Sn 0.8750 0.7500 0.1250  8 O 2.48-2.72
Sn 0.3750 0.7500 0.6250  8 O 2.48-2.72
Sn 0.2500 0.1250 0.3750  8 O 2.48-2.72
Sn 0.8750 0.1250 0.2500  8 O 2.48-2.72
Sn 0.3750 0.6250 0.2500  8 O 2.48-2.72
Sn 0.6250 0.3750 0.7500  8 O 2.48-2.72
Sn 0.1250 0.8750 0.7500  8 O 2.48-2.72
Sn 0.7500 0.8750 0.6250  8 O 2.48-2.72
Sn 0.6250 0.2500 0.3750  8 O 2.48-2.72
Sn 0.1250 0.2500 0.8750  8 O 2.48-2.72
Sn 0.2500 0.6250 0.8750  8 O 2.48-2.72
V 0.1250 0.3750 0.2500  4 O 1.83
V 0.0000 0.5000 0.0000  6 O 2.07
V 0.0000 0.0000 0.0000  6 O 2.07
V 0.3750 0.2500 0.1250  4 O 1.83
V 0.5000 0.0000 0.5000  6 O 2.07
V 0.5000 0.5000 0.0000  6 O 2.07
V 0.1250 0.7500 0.3750  4 O 1.83
V 0.7500 0.1250 0.8750  4 O 1.83
V 0.7500 0.6250 0.3750  4 O 1.83
V 0.3750 0.1250 0.7500  4 O 1.83
V 0.6250 0.8750 0.2500  4 O 1.83
V 0.5000 0.5000 0.5000  6 O 2.07
V 0.5000 0.0000 0.0000  6 O 2.07
V 0.0000 0.0000 0.5000  6 O 2.07
V 0.2500 0.3750 0.6250  4 O 1.83
V 0.2500 0.8750 0.1250  4 O 1.83
V 0.0000 0.5000 0.5000  6 O 2.07
V 0.8750 0.2500 0.6250  4 O 1.83
V 0.6250 0.7500 0.8750  4 O 1.83
V 0.8750 0.6250 0.7500  4 O 1.83
O 0.6944 0.1176 0.0100  1 V 1.83
O 0.3157 0.5100 0.3924  1 V 1.83
O 0.9900 0.3824 0.3056  1 V 1.83
O 0.5100 0.1944 0.1176  1 V 1.83
O 0.5767 0.6944 0.6843  1 V 1.83
O 0.9900 0.6076 0.1843  1 V 1.83
O 0.3157 0.8056 0.4233  1 V 1.83
O 0.1076 0.9233 0.1176  1 V 1.83
O 0.6076 0.9900 0.6843  1 V 1.83
O 0.6944 0.5767 0.1843  1 V 1.83
O 0.8056 0.4900 0.3824  1 V 1.83
O 0.8157 0.8924 0.0100  1 V 1.83
O 0.1176 0.6944 0.5100  1 V 1.83
O 0.3824 0.3924 0.0767  1 V 1.83
O 0.0767 0.8924 0.3824  1 V 1.83
O 0.4233 0.1176 0.6076  1 V 1.83
O 0.0767 0.1843 0.1944  1 V 1.83
O 0.4900 0.6843 0.1076  1 V 1.83
O 0.8157 0.9233 0.3056  1 V 1.83
O 0.1176 0.4233 0.1076  1 V 1.83
O 0.3824 0.9900 0.8056  1 V 1.83
O 0.6076 0.6176 0.4233  1 V 1.83
O 0.8924 0.8157 0.5100  1 V 1.83
O 0.8056 0.3157 0.9233  1 V 1.83
O 0.3924 0.3824 0.5767  1 V 1.83
O 0.1076 0.1843 0.4900  1 V 1.83
O 0.1944 0.6843 0.0767  1 V 1.83
O 0.1843 0.0767 0.6944  1 V 1.83
O 0.6176 0.0100 0.1944  1 V 1.83
O 0.8824 0.5767 0.8924  1 V 1.83
O 0.5100 0.3157 0.8924  1 V 1.83
O 0.5767 0.8824 0.3924  1 V 1.83
O 0.9233 0.8157 0.8056  1 V 1.83
O 0.9233 0.1076 0.6176  1 V 1.83
O 0.8824 0.3056 0.4900  1 V 1.83
O 0.1843 0.1076 0.9900  1 V 1.83
O 0.6176 0.6076 0.9233  1 V 1.83
O 0.3924 0.0100 0.3157  1 V 1.83
O 0.3056 0.4233 0.8157  1 V 1.83
O 0.1944 0.5100 0.6176  1 V 1.83
O 0.8924 0.0767 0.8824  1 V 1.83
O 0.6843 0.1944 0.5767  1 V 1.83
O 0.4900 0.8056 0.8824  1 V 1.83
O 0.0100 0.3924 0.8157  1 V 1.83
O 0.4233 0.3056 0.3157  1 V 1.83
O 0.0100 0.6176 0.6944  1 V 1.83
O 0.6843 0.4900 0.6076  1 V 1.83
O 0.3056 0.8824 0.9900  1 V 1.83

Calculated values
Total energy ... -7.11 eV/atom
DOS(E_F) ... 29.61 states/eV/cell


(5)
## V2Sn2O7 (GGA+U)

Data for a relaxed V2Sn2O7 crystal.

Unit cell a=5.0479 b=5.1292 c=5.0479 alpha=90.00 beta=91.87 gamma=90.00
With the nearest neighbours (Å) after each atom.
Element x y z (fractional)
V 0.7229 0.5000 0.7229  6 O 2.01-2.19
V 0.2771 0.5000 0.2771  6 O 2.01-2.19
Sn 0.7316 0.0000 0.2684  3 O 1.95-2.13
Sn 0.2684 0.0000 0.7316  3 O 1.95-2.13
O 0.0000 0.2630 0.5000  2 V 2.19, 2 Sn 2.22, 1 O 2.43
O 0.5000 0.7370 0.0000  2 V 2.19, 2 Sn 2.22, 1 O 2.43
O 0.0000 0.7370 0.5000  2 V 2.19, 2 Sn 2.22, 1 O 2.43
O 0.5000 0.2630 0.0000  2 V 2.19, 2 Sn 2.22, 1 O 2.43
O 0.0000 0.0000 0.0000  2 Sn 1.95
O 0.5000 0.7462 0.5000  2 V 2.01, 2 Sn 2.13
O 0.5000 0.2538 0.5000  2 V 2.01, 2 Sn 2.13

Calculated values
Total energy ... -6.80 eV/atom


(6)
## V3SnO (GGA+U)

Data for a relaxed V3SnO crystal.

Unit cell a=5.2445 b=5.2445 c=5.2445 alpha=90.00 beta=90.00 gamma=90.00
With the nearest neighbours (Å) after each atom.
Element x y z (fractional)
Sn 0.0000 0.0000 0.0000  6 V 2.62
O 0.5000 0.5000 0.5000  12 V 3.71
V 0.0000 0.5000 0.0000  2 Sn 2.62
V 0.0000 0.0000 0.5000  2 Sn 2.62
V 0.5000 0.0000 0.0000  2 Sn 2.62

Calculated values
Offset from the most stable computed form ... 1577 meV per atom
DOS(E_F) ... 2.82 states/eV/cell